# 1
Compound: CsHS2O6F2
Source: the Alexandria database
Functional: PBEsol
Structure: relaxed

Unit cell a=13.492 b=7.681 c=9.479 alpha=90.00 beta=128.82 gamma=90.00
Space group C2/c (No. 15)
Asymmetric unit:
Cs  0.000  0.114  0.250 x4
H  0.250  0.250  0.000 x4
S  0.172  0.343  0.717 x8
O  0.078  0.208  0.644 x8
O  0.222  0.383  0.624 x8
O  0.226  0.166  0.083 x8
F  0.099  0.483  0.199 x8

Calculated values
Crystal system: monoclinic
Theoretical density, Mg/m³: 2.88
E, eV/atom: -5.67

***

# 2
Compound: LaZr2P
Source: the Alexandria database
Functional: PBEsol
Structure: relaxed

Unit cell a=6.989 b=6.989 c=6.989 alpha=90.00 beta=90.00 gamma=90.00
Space group F-43m (No. 216)
Asymmetric unit:
La  0.000  0.000  0.000 x4
Zr  0.000  0.000  0.500 x4
Zr  0.250  0.250  0.750 x4
P  0.250  0.250  0.250 x4

Calculated values
Crystal system: cubic
E_form, meV per atom: -80
Theoretical density, Mg/m³: 6.86
E, eV/atom: -7.41

***

# 3
Compound: YSbTe2S
Source: the Alexandria database
Functional: PBEsol
Structure: relaxed

Unit cell a=5.623 b=5.623 c=5.824 alpha=90.00 beta=90.00 gamma=90.00
Space group P4/mmm (No. 123)
Asymmetric unit:
Y  0.000  0.000  0.000 x1
Sb  0.000  0.000  0.500 x1
Te  0.000  0.500  0.000 x2
S  0.500  0.500  0.500 x1

Calculated values
E_form (uncorrected), meV per atom: 470
Crystal system: tetragonal
Theoretical density, Mg/m³: 4.49
E, eV/atom: -4.09

***

Q: Among the records above, which one has the highest theoretical density?
A: LaZr2P